The following is a PBE-GGA calculation of an optimized crystal structure of RbPr2B2S6, from Alexandria via LeMat-Bulk.

Lattice parameters (Å, degrees): 7.259 7.474 7.611 114.70 89.95 61.00
Fractional coordinates of all 11 atoms:
S: 0.924 0.151 0.394
Rb: 0.500 0.000 0.500
S: 0.606 0.357 0.152
B: 0.151 0.699 0.757
S: 0.964 0.642 0.848
S: 0.394 0.643 0.848
B: 0.849 0.301 0.243
Pr: 0.170 0.661 0.170
S: 0.076 0.849 0.606
S: 0.036 0.358 0.152
Pr: 0.830 0.339 0.830

Properties
E = -5.50 eV/atom
M_tot = 0.0 μB per formula unit
calculated volume = 317 Å³ per cell

The following is a PBE-GGA calculation of an optimized crystal structure of Pr2Re3B6, from Alexandria via LeMat-Bulk.

Lattice parameters (Å, degrees): 6.345 6.345 7.646 89.45 89.45 114.83
Fractional coordinates of all 22 atoms:
B: 0.650 0.559 0.033
B: 0.158 0.584 0.020
Pr: 0.441 0.093 0.174
Re: 0.195 0.011 0.588
B: 0.441 0.350 0.467
B: 0.416 0.842 0.480
Re: 0.805 0.989 0.412
Pr: 0.093 0.441 0.674
B: 0.153 0.243 0.367
B: 0.757 0.847 0.133
Re: 0.416 0.584 0.250
Re: 0.989 0.805 0.912
Re: 0.011 0.195 0.088
Re: 0.584 0.416 0.750
B: 0.842 0.416 0.980
B: 0.350 0.441 0.967
Pr: 0.559 0.907 0.826
B: 0.559 0.650 0.533
B: 0.847 0.757 0.633
B: 0.584 0.158 0.520
B: 0.243 0.153 0.867
Pr: 0.907 0.559 0.326

Properties
E = -8.33 eV/atom
M_tot = 0.0 μB per formula unit
calculated volume = 279 Å³ per cell
energy relative to the elements = -4.65 eV/f.u.

The following is a PBE-GGA calculation of an optimized crystal structure of PrRe3B3, from Alexandria via LeMat-Bulk.

Lattice parameters (Å, degrees): 3.007 8.505 8.506 120.00 90.00 90.00
Fractional coordinates of all 14 atoms:
B: 0.750 0.556 0.528
B: 0.250 0.528 0.972
Re: 0.250 0.257 0.969
Pr: 0.750 0.333 0.667
B: 0.750 0.472 0.028
Re: 0.250 0.031 0.289
B: 0.250 0.444 0.472
Re: 0.750 0.288 0.257
B: 0.250 0.028 0.556
Re: 0.750 0.969 0.711
B: 0.750 0.972 0.444
Re: 0.750 0.743 0.031
Re: 0.250 0.712 0.743
Pr: 0.250 0.667 0.333

Properties
E = -8.96 eV/atom
M_tot = 0.0 μB per formula unit
calculated volume = 188 Å³ per cell
energy relative to the elements = -0.59 eV/f.u.

The following is a PBE-GGA calculation of an optimized crystal structure of PrRe2Si2B, from Alexandria via LeMat-Bulk.

Lattice parameters (Å, degrees): 4.246 4.246 5.369 90.00 90.00 90.00
Fractional coordinates of all 6 atoms:
Re: 0.000 0.500 0.000
Pr: 0.000 0.000 0.500
Si: 0.500 0.500 0.268
Re: 0.500 0.000 0.000
B: 0.000 0.000 0.000
Si: 0.500 0.500 0.732

Properties
E = -8.36 eV/atom
M_tot = 0.0 μB per formula unit
calculated volume = 97 Å³ per cell

The following is a PBE-GGA calculation of an optimized crystal structure of Pr2Re2Si2B, from Alexandria via LeMat-Bulk.

Lattice parameters (Å, degrees): 4.124 5.918 6.276 72.77 70.82 69.61
Fractional coordinates of all 7 atoms:
Si: 0.142 0.402 0.313
Re: 0.786 0.344 0.085
Pr: 0.577 0.155 0.692
B: 0.000 0.000 0.000
Re: 0.214 0.656 0.915
Pr: 0.423 0.845 0.308
Si: 0.858 0.598 0.687

Properties
E = -7.95 eV/atom
M_tot = 0.0 μB per formula unit
calculated volume = 133 Å³ per cell

The following is a PBE-GGA calculation of an optimized crystal structure of PrB4Rh6, from Alexandria via LeMat-Bulk.

Lattice parameters (Å, degrees): 3.469 6.760 6.760 120.00 90.00 90.00
Fractional coordinates of all 11 atoms:
Rh: 0.500 0.200 0.399
B: 0.500 0.790 0.210
Rh: 0.500 0.601 0.800
Rh: 0.000 0.537 0.463
B: 0.500 0.790 0.580
Rh: 0.500 0.200 0.800
B: 0.000 0.333 0.667
Rh: 0.000 0.537 0.073
B: 0.500 0.420 0.210
Rh: 0.000 0.927 0.463
Pr: 0.000 0.000 0.000

Properties
E = -7.18 eV/atom
M_tot = 0.0 μB per formula unit
calculated volume = 137 Å³ per cell
energy relative to the elements = -3.37 eV/f.u.

The following is a PBE-GGA calculation of an optimized crystal structure of PrBRh2, from Alexandria via LeMat-Bulk.

Lattice parameters (Å, degrees): 3.190 4.804 4.804 112.16 90.00 90.00
Fractional coordinates of all 4 atoms:
Pr: 0.500 0.750 0.250
Rh: 0.000 0.081 0.919
B: 0.500 0.250 0.750
Rh: 0.000 0.419 0.581

Properties
E = -6.89 eV/atom
M_tot = 0.0 μB per formula unit
calculated volume = 68 Å³ per cell
energy relative to the elements = -1.42 eV/f.u.

The following is a PBE-GGA calculation of an optimized crystal structure of PrB2Rh7, from Alexandria via LeMat-Bulk.

Lattice parameters (Å, degrees): 4.184 6.409 6.409 114.66 90.00 90.00
Fractional coordinates of all 10 atoms:
Rh: 0.000 0.697 0.303
Rh: 0.500 0.944 0.670
Rh: 0.500 0.670 0.944
Rh: 0.500 0.330 0.056
B: 0.500 0.298 0.702
Pr: 0.000 0.000 0.000
Rh: 0.500 0.056 0.330
B: 0.500 0.702 0.298
Rh: 0.500 0.500 0.500
Rh: 0.000 0.303 0.697

Properties
E = -7.00 eV/atom
M_tot = 0.0 μB per formula unit
calculated volume = 156 Å³ per cell
energy relative to the elements = -0.41 eV/f.u.

The following is a PBE-GGA calculation of an optimized crystal structure of PrB4Rh6, from Alexandria via LeMat-Bulk.

Lattice parameters (Å, degrees): 5.775 5.775 5.822 60.27 60.27 89.99
Fractional coordinates of all 11 atoms:
Rh: 0.476 0.476 0.414
B: 0.572 0.281 0.147
Rh: 0.891 0.524 0.585
B: 0.281 0.572 0.147
Rh: 0.109 0.109 0.415
B: 0.719 0.719 0.853
Rh: 0.000 0.500 0.000
Pr: 0.000 0.000 0.000
B: 0.428 0.428 0.853
Rh: 0.524 0.891 0.585
Rh: 0.500 0.000 0.000

Properties
E = -7.14 eV/atom
M_tot = 0.0 μB per formula unit
calculated volume = 138 Å³ per cell
energy relative to the elements = -2.97 eV/f.u.

The following is a PBE-GGA calculation of an optimized crystal structure of PrBRh2, from Alexandria via LeMat-Bulk.

Lattice parameters (Å, degrees): 3.798 3.798 5.861 71.09 71.09 60.00
Fractional coordinates of all 4 atoms:
Rh: 0.790 0.790 0.630
Rh: 0.210 0.210 0.370
B: 0.500 0.500 0.500
Pr: 0.000 0.000 0.000

Properties
E = -6.88 eV/atom
M_tot = 0.0 μB per formula unit
calculated volume = 68 Å³ per cell
energy relative to the elements = -1.35 eV/f.u.